(1)
! MgAu2N, relaxed, DFT PBE-GGA; values from VASP
&SYSTEM
  ibrav = 0, nat = 16, ntyp = 3
/
ATOMIC_SPECIES
Mg 24.30 Mg.upf
Au 196.97 Au.upf
N 14.01 N.upf
CELL_PARAMETERS angstrom
5.1784 0.0000 0.0000
0.0000 5.1784 0.0000
0.0000 0.0000 12.2418
ATOMIC_POSITIONS crystal
Mg 0.0000 0.0000 0.0000
Mg 0.0000 0.5000 0.2500
Mg 0.5000 0.0000 0.7500
Mg 0.5000 0.5000 0.5000
Au 0.1128 0.2500 0.6250
Au 0.2500 0.6128 0.8750
Au 0.2500 0.8872 0.3750
Au 0.3872 0.2500 0.1250
Au 0.6128 0.7500 0.1250
Au 0.7500 0.1128 0.3750
Au 0.7500 0.3872 0.8750
Au 0.8872 0.7500 0.6250
N 0.0000 0.0000 0.5000
N 0.0000 0.5000 0.7500
N 0.5000 0.0000 0.2500
N 0.5000 0.5000 0.0000
! Space-group type ... No. 122
! Formation energy without anion corrections ... 524 meV/atom


(2)
! Sm7DyTm12, relaxed, DFT PBE-GGA; values from VASP
&SYSTEM
  ibrav = 0, nat = 20, ntyp = 3
/
ATOMIC_SPECIES
Sm 150.36 Sm.upf
Dy 162.50 Dy.upf
Tm 168.93 Tm.upf
CELL_PARAMETERS angstrom
5.9300 3.4237 5.3665
-5.9300 3.4237 5.3665
0.0000 -6.8474 5.3665
ATOMIC_POSITIONS crystal
Sm 0.0000 0.0000 0.0000
Sm 0.1017 0.3446 0.4268
Sm 0.3446 0.4268 0.1017
Sm 0.4268 0.1017 0.3446
Sm 0.5732 0.8983 0.6554
Sm 0.6554 0.5732 0.8983
Sm 0.8983 0.6554 0.5732
Dy 0.5000 0.5000 0.5000
Tm 0.0027 0.3660 0.8807
Tm 0.1193 0.9973 0.6340
Tm 0.2283 0.7576 0.3537
Tm 0.2424 0.6463 0.7717
Tm 0.3537 0.2283 0.7576
Tm 0.3660 0.8807 0.0027
Tm 0.6340 0.1193 0.9973
Tm 0.6463 0.7717 0.2424
Tm 0.7576 0.3537 0.2283
Tm 0.7717 0.2424 0.6463
Tm 0.8807 0.0027 0.3660
Tm 0.9973 0.6340 0.1193
! Formation energy from the elements ... 4.7 eV per formula unit
! Space-group type ... No. 148


(3)
! HfNiP3, relaxed, DFT PBE-GGA; values from VASP
&SYSTEM
  ibrav = 0, nat = 5, ntyp = 3
/
ATOMIC_SPECIES
Hf 178.49 Hf.upf
Ni 58.69 Ni.upf
P 30.97 P.upf
CELL_PARAMETERS angstrom
4.9195 0.0000 0.0000
0.0000 4.9195 0.0000
0.0000 0.0000 4.9195
ATOMIC_POSITIONS crystal
Hf 0.0000 0.0000 0.0000
Ni 0.5000 0.5000 0.5000
P 0.0000 0.0000 0.5000
P 0.0000 0.5000 0.0000
P 0.5000 0.0000 0.0000
! Formation energy from the elements ... 4.2 eV per formula unit
! Space-group type ... No. 221


(4)
! PrH8PdRh4, relaxed, DFT PBE-GGA; values from VASP
&SYSTEM
  ibrav = 0, nat = 14, ntyp = 4
/
ATOMIC_SPECIES
Pr 140.91 Pr.upf
H 1.01 H.upf
Pd 106.42 Pd.upf
Rh 102.91 Rh.upf
CELL_PARAMETERS angstrom
2.8463 1.6433 4.6751
-2.8463 1.6433 4.6751
0.0000 -3.2866 4.6751
ATOMIC_POSITIONS crystal
Pr 0.0000 0.0000 0.0000
H 0.1188 0.6652 0.6652
H 0.1594 0.1594 0.5159
H 0.1594 0.5159 0.1594
H 0.1607 0.1607 0.1607
H 0.5159 0.1594 0.1594
H 0.6167 0.6167 0.6167
H 0.6652 0.1188 0.6652
H 0.6652 0.6652 0.1188
Pd 0.3827 0.3827 0.3827
Rh 0.3796 0.3796 0.8714
Rh 0.3796 0.8714 0.3796
Rh 0.7453 0.7453 0.7453
Rh 0.8714 0.3796 0.3796
! Space-group type ... No. 160
! Uncorrected energy ... -4.94 eV per atom


What are the total magnetization values for these records? In order: 0.00, 0.00, 0.88, 0.00 μB per formula unit.
What are the theoretical density values for these records? In order: 8.746, 8.236, 4.604, 8.442 Mg/m³.